No. 1
! PBE PmGeH8Rh4, relaxed; values from VASP
&SYSTEM
  ibrav = 0, nat = 14, ntyp = 4
/
ATOMIC_SPECIES
Pm 145.00 Pm.upf
Ge 72.64 Ge.upf
H 1.01 H.upf
Rh 102.91 Rh.upf
ATOMIC_POSITIONS crystal
Pm 0.000 0.000 0.000
Ge 0.403 0.403 0.403
H 0.101 0.706 0.706
H 0.141 0.141 0.533
H 0.141 0.533 0.141
H 0.167 0.167 0.167
H 0.533 0.141 0.141
H 0.619 0.619 0.619
H 0.706 0.101 0.706
H 0.706 0.706 0.101
Rh 0.384 0.384 0.877
Rh 0.384 0.877 0.384
Rh 0.755 0.755 0.755
Rh 0.877 0.384 0.384
CELL_PARAMETERS angstrom
2.917 1.684 4.548
-2.917 1.684 4.548
0.000 -3.368 4.548
! M_tot = 0.0 μB/f.u.
! DOS at the Fermi energy = 1.81 states/eV per cell
! Electronic total energy = -4.81 eV/atom
! Space group = No. 160

---

No. 2
! PBE PmGeH2Ru, relaxed; values from VASP
&SYSTEM
  ibrav = 0, nat = 10, ntyp = 4
/
ATOMIC_SPECIES
Pm 145.00 Pm.upf
Ge 72.64 Ge.upf
H 1.01 H.upf
Ru 101.07 Ru.upf
ATOMIC_POSITIONS crystal
Pm 0.206 0.794 0.750
Pm 0.794 0.206 0.250
Ge 0.074 0.926 0.250
Ge 0.926 0.074 0.750
H 0.340 0.660 0.059
H 0.340 0.660 0.441
H 0.660 0.340 0.559
H 0.660 0.340 0.941
Ru 0.500 0.500 0.000
Ru 0.500 0.500 0.500
CELL_PARAMETERS angstrom
1.997 -5.333 0.000
1.997 5.333 0.000
0.000 0.000 5.996
! M_tot = 0.0 μB/f.u.
! DOS at the Fermi energy = 3.65 states/eV per cell
! Electronic total energy = -5.66 eV/atom
! Space group = No. 63

---

No. 3
! PBE PmGeHRu, relaxed; values from VASP
&SYSTEM
  ibrav = 0, nat = 8, ntyp = 4
/
ATOMIC_SPECIES
Pm 145.00 Pm.upf
Ge 72.64 Ge.upf
H 1.01 H.upf
Ru 101.07 Ru.upf
ATOMIC_POSITIONS crystal
Pm 0.250 0.250 0.163
Pm 0.750 0.750 0.837
Ge 0.250 0.250 0.677
Ge 0.750 0.750 0.323
H 0.250 0.750 0.000
H 0.750 0.250 0.000
Ru 0.250 0.750 0.500
Ru 0.750 0.250 0.500
CELL_PARAMETERS angstrom
4.178 0.000 0.000
0.000 4.178 0.000
0.000 0.000 7.445
! M_tot = 0.0 μB/f.u.
! DOS at the Fermi energy = 3.42 states/eV per cell
! Electronic total energy = -6.16 eV/atom
! Space group = No. 129

---

No. 4
! PBE Pm2Ge2HRu2, relaxed; values from VASP
&SYSTEM
  ibrav = 0, nat = 7, ntyp = 4
/
ATOMIC_SPECIES
Pm 145.00 Pm.upf
Ge 72.64 Ge.upf
H 1.01 H.upf
Ru 101.07 Ru.upf
ATOMIC_POSITIONS crystal
Pm 0.159 0.159 0.000
Pm 0.841 0.841 0.000
Ge 0.393 0.393 0.000
Ge 0.607 0.607 0.000
H 0.000 0.000 0.000
Ru 0.000 0.500 0.500
Ru 0.500 0.000 0.500
CELL_PARAMETERS angstrom
-2.086 2.086 7.251
2.086 -2.086 7.251
2.086 2.086 -7.251
! M_tot = 0.0 μB/f.u.
! DOS at the Fermi energy = 3.68 states/eV per cell
! Electronic total energy = -6.45 eV/atom
! Space group = No. 139

---

No. 5
! PBE PmGeHRu2, relaxed; values from VASP
&SYSTEM
  ibrav = 0, nat = 10, ntyp = 4
/
ATOMIC_SPECIES
Pm 145.00 Pm.upf
Ge 72.64 Ge.upf
H 1.01 H.upf
Ru 101.07 Ru.upf
ATOMIC_POSITIONS crystal
Pm 0.039 0.961 0.750
Pm 0.961 0.039 0.250
Ge 0.237 0.763 0.250
Ge 0.763 0.237 0.750
H 0.500 0.500 0.000
H 0.500 0.500 0.500
Ru 0.346 0.654 0.547
Ru 0.346 0.654 0.953
Ru 0.654 0.346 0.047
Ru 0.654 0.346 0.453
CELL_PARAMETERS angstrom
1.731 -5.667 0.000
1.731 5.667 0.000
0.000 0.000 7.716
! M_tot = 0.5 μB/f.u.
! DOS at the Fermi energy = 11.24 states/eV per cell
! Electronic total energy = -6.61 eV/atom
! Space group = No. 63

---

No. 6
! PBE Pm4Ge2SbH, relaxed; values from VASP
&SYSTEM
  ibrav = 0, nat = 16, ntyp = 4
/
ATOMIC_SPECIES
Pm 145.00 Pm.upf
Ge 72.64 Ge.upf
Sb 121.76 Sb.upf
H 1.01 H.upf
ATOMIC_POSITIONS crystal
Pm 0.000 0.000 0.000
Pm 0.000 0.000 0.500
Pm 0.270 0.730 0.621
Pm 0.270 0.730 0.879
Pm 0.436 0.564 0.250
Pm 0.564 0.436 0.750
Pm 0.730 0.270 0.121
Pm 0.730 0.270 0.379
Ge 0.366 0.634 0.060
Ge 0.366 0.634 0.440
Ge 0.634 0.366 0.560
Ge 0.634 0.366 0.940
Sb 0.109 0.891 0.250
Sb 0.891 0.109 0.750
H 0.159 0.841 0.750
H 0.841 0.159 0.250
CELL_PARAMETERS angstrom
2.119 -6.950 0.000
2.119 6.950 0.000
0.000 0.000 14.513
! M_tot = 0.0 μB/f.u.
! DOS at the Fermi energy = 4.16 states/eV per cell
! Electronic total energy = -5.31 eV/atom
! Space group = No. 63

---

No. 7
! PBE PmSmGeH, relaxed; values from VASP
&SYSTEM
  ibrav = 0, nat = 8, ntyp = 4
/
ATOMIC_SPECIES
Pm 145.00 Pm.upf
Sm 150.36 Sm.upf
Ge 72.64 Ge.upf
H 1.01 H.upf
ATOMIC_POSITIONS crystal
Pm 0.250 0.250 0.121
Pm 0.750 0.750 0.879
Sm 0.250 0.750 0.500
Sm 0.750 0.250 0.500
Ge 0.250 0.250 0.747
Ge 0.750 0.750 0.253
H 0.250 0.750 0.000
H 0.750 0.250 0.000
CELL_PARAMETERS angstrom
4.347 0.000 0.000
0.000 4.347 0.000
0.000 0.000 8.729
! M_tot = 0.0 μB/f.u.
! DOS at the Fermi energy = 6.37 states/eV per cell
! Electronic total energy = -4.95 eV/atom
! Space group = No. 129

---

No. 8
! PBE TbPmGeH, relaxed; values from VASP
&SYSTEM
  ibrav = 0, nat = 8, ntyp = 4
/
ATOMIC_SPECIES
Tb 158.93 Tb.upf
Pm 145.00 Pm.upf
Ge 72.64 Ge.upf
H 1.01 H.upf
ATOMIC_POSITIONS crystal
Tb 0.250 0.750 0.000
Tb 0.750 0.250 0.000
Pm 0.250 0.250 0.377
Pm 0.750 0.750 0.623
Ge 0.250 0.250 0.760
Ge 0.750 0.750 0.240
H 0.250 0.750 0.500
H 0.750 0.250 0.500
CELL_PARAMETERS angstrom
4.360 0.000 0.000
0.000 4.360 0.000
0.000 0.000 8.551
! M_tot = 0.4 μB/f.u.
! DOS at the Fermi energy = 6.29 states/eV per cell
! Electronic total energy = -4.95 eV/atom
! Space group = No. 129

---

Repeat the sixth record exactly.
! PBE Pm4Ge2SbH, relaxed; values from VASP
&SYSTEM
  ibrav = 0, nat = 16, ntyp = 4
/
ATOMIC_SPECIES
Pm 145.00 Pm.upf
Ge 72.64 Ge.upf
Sb 121.76 Sb.upf
H 1.01 H.upf
ATOMIC_POSITIONS crystal
Pm 0.000 0.000 0.000
Pm 0.000 0.000 0.500
Pm 0.270 0.730 0.621
Pm 0.270 0.730 0.879
Pm 0.436 0.564 0.250
Pm 0.564 0.436 0.750
Pm 0.730 0.270 0.121
Pm 0.730 0.270 0.379
Ge 0.366 0.634 0.060
Ge 0.366 0.634 0.440
Ge 0.634 0.366 0.560
Ge 0.634 0.366 0.940
Sb 0.109 0.891 0.250
Sb 0.891 0.109 0.750
H 0.159 0.841 0.750
H 0.841 0.159 0.250
CELL_PARAMETERS angstrom
2.119 -6.950 0.000
2.119 6.950 0.000
0.000 0.000 14.513
! M_tot = 0.0 μB/f.u.
! DOS at the Fermi energy = 4.16 states/eV per cell
! Electronic total energy = -5.31 eV/atom
! Space group = No. 63

---

Which of these has the highest M_tot?
PmGeHRu2